--- w ---
Entry from the Alexandria database: crystalline Tc2Mo at its relaxed geometry (PBE).

abc: 5.085 5.085 5.085
angles: 60.00 60.00 60.00
Sites, in units of the cell vectors:
Tc: 0.000 0.000 0.000
Tc: 0.000 0.000 0.500
Tc: 0.000 0.500 0.000
Tc: 0.500 0.000 0.000
Mo: 0.375 0.375 0.375
Mo: 0.625 0.625 0.625

--- x ---
Entry from the Alexandria database: crystalline Tc2Mo at its relaxed geometry (PBE).

abc: 5.284 5.284 6.611
angles: 105.42 105.42 30.63
Sites, in units of the cell vectors:
Tc: 0.000 0.000 0.000
Tc: 0.052 0.052 0.613
Tc: 0.397 0.397 0.271
Tc: 0.718 0.718 0.949
Mo: 0.334 0.334 0.677
Mo: 0.670 0.670 0.329

Stability check: which of them is most stable? x.

--- w ---
Entry from the Alexandria database: crystalline BaS2N2 at its relaxed geometry (PBE).

abc: 6.328 6.328 5.552
angles: 90.00 90.00 90.00
Sites, in units of the cell vectors:
Ba: 0.000 0.000 0.000
S: 0.000 0.500 0.000
S: 0.500 0.000 0.000
N: 0.000 0.000 0.500
N: 0.500 0.500 0.500

--- x ---
Entry from the Alexandria database: crystalline BaS2N2 at its relaxed geometry (PBE).

abc: 4.168 4.168 4.950
angles: 90.00 90.00 90.00
Sites, in units of the cell vectors:
Ba: 0.000 0.000 0.000
S: 0.000 0.500 0.500
S: 0.500 0.000 0.500
N: 0.500 0.500 0.000
N: 0.500 0.500 0.500

Stability check: which of them is most stable? x.

--- w ---
Entry from the Alexandria database: crystalline KTa2Ni at its relaxed geometry (PBE).

abc: 4.922 4.922 2.936
angles: 90.00 90.00 90.00
Sites, in units of the cell vectors:
K: 0.000 0.000 0.000
Ta: 0.000 0.500 0.500
Ta: 0.500 0.000 0.500
Ni: 0.500 0.500 0.000

--- x ---
Entry from the Alexandria database: crystalline KTa2Ni at its relaxed geometry (PBE).

abc: 6.198 6.198 2.710
angles: 99.99 99.99 125.62
Sites, in units of the cell vectors:
K: 0.000 0.000 0.000
Ta: 0.000 0.500 0.500
Ta: 0.500 0.000 0.500
Ni: 0.500 0.500 0.000

Stability check: which of them is most stable? x.

--- w ---
Entry from the Alexandria database: crystalline SrTaAu2 at its relaxed geometry (PBE).

abc: 3.139 4.305 6.822
angles: 90.00 90.00 90.00
Sites, in units of the cell vectors:
Sr: 0.000 0.000 0.000
Ta: 0.500 0.500 0.358
Au: 0.000 0.000 0.492
Au: 0.500 0.500 0.758

--- x ---
Entry from the Alexandria database: crystalline SrTaAu2 at its relaxed geometry (PBE).

abc: 5.852 5.852 5.852
angles: 138.34 138.34 60.39
Sites, in units of the cell vectors:
Sr: 0.000 0.000 0.000
Ta: 0.250 0.750 0.500
Au: 0.500 0.500 0.000
Au: 0.750 0.250 0.500

Stability check: which of them is most stable? w.

--- w ---
Entry from the Alexandria database: crystalline SrCu2Ir at its relaxed geometry (PBE).

abc: 4.682 4.682 4.682
angles: 60.00 60.00 60.00
Sites, in units of the cell vectors:
Sr: 0.000 0.000 0.000
Cu: 0.500 0.500 0.500
Cu: 0.750 0.750 0.750
Ir: 0.250 0.250 0.250

--- x ---
Entry from the Alexandria database: crystalline SrCu2Ir at its relaxed geometry (PBE).

abc: 4.740 4.740 4.740
angles: 124.89 115.41 89.94
Sites, in units of the cell vectors:
Sr: 0.000 0.000 0.000
Cu: 0.297 0.797 0.500
Cu: 0.703 0.203 0.500
Ir: 0.500 0.500 0.000

Stability check: which of them is most stable? x.